Computed, not measured: Ag2WO4 at its PBEsol-relaxed geometry at the meta-GGA SCAN level of DFT.

abc: 6.1855 9.9810 11.9015
angles: 90.00 90.00 90.00
Space group Pnnm (No. 58)
Inequivalent atoms, fractional coordinates:
1 Ag 0.0000 0.0000 0.0000
2 Ag 0.0000 0.0000 0.2675
3 Ag 0.0000 0.5000 0.0000
4 Ag 0.0175 0.2471 0.1371
5 W 0.0000 0.5000 0.3549
6 W 0.0199 0.2208 0.5000
7 O 0.1602 0.6599 0.3878
8 O 0.1615 0.4173 0.5000
9 O 0.1887 0.4243 0.2592
10 O 0.1937 0.1734 0.3838
11 O 0.1945 0.9007 0.5000

The crystal system is orthorhombic. The calculation puts the calculated total energy at -23.838 eV/atom. The uncorrected formation energy comes out at -1.360 eV per atom.